[1]
# Ba2SbPt | Alexandria | PBE | optimized geometry
data_Ba2SbPt
_cell_length_a 4.030
_cell_length_b 3.804
_cell_length_c 9.444
_cell_angle_alpha 66.30
_cell_angle_beta 90.00
_cell_angle_gamma 90.00
_space_group_name_H-M_alt 'P 1'
_space_group_IT_number 1
loop_
_space_group_symop_operation_xyz
'x,y,z'
loop_
_atom_site_label
_atom_site_fract_x
_atom_site_fract_y
_atom_site_fract_z
Pt1 0.500 0.250 0.250
Ba1 0.000 0.973 0.027
Ba2 0.000 0.527 0.473
Sb1 0.500 0.750 0.750
# - Magnetic moment: 0.00 μB per formula unit
# - ρ: 7.41 g/cm3
# - Formation energy without anion corrections: -750 meV per atom

=====

[2]
# BaSb2Pt | Alexandria | PBE | optimized geometry
data_BaSb2Pt
_cell_length_a 5.405
_cell_length_b 5.405
_cell_length_c 5.405
_cell_angle_alpha 60.00
_cell_angle_beta 60.00
_cell_angle_gamma 60.00
_space_group_name_H-M_alt 'P 1'
_space_group_IT_number 1
loop_
_space_group_symop_operation_xyz
'x,y,z'
loop_
_atom_site_label
_atom_site_fract_x
_atom_site_fract_y
_atom_site_fract_z
Sb1 0.250 0.250 0.250
Sb2 0.000 0.000 0.000
Pt1 0.750 0.750 0.750
Ba1 0.500 0.500 0.500
# - Magnetic moment: 0.00 μB per formula unit
# - ρ: 8.57 g/cm3
# - Formation energy without anion corrections: -172 meV per atom